# YCdTe2Ir

A relaxed structure of YCdTe2Ir (PBE, the Alexandria database). Values from VASP.

The structure in Quantum ESPRESSO input format:
```
&SYSTEM
  ibrav = 0, nat = 5, ntyp = 4
/
ATOMIC_SPECIES
Y 88.91 Y.upf
Cd 112.41 Cd.upf
Te 127.60 Te.upf
Ir 192.22 Ir.upf
CELL_PARAMETERS angstrom
5.3482 0.0000 0.0000
0.0000 5.3482 0.0000
0.0000 0.0000 5.5952
ATOMIC_POSITIONS crystal
Y 0.0000 0.0000 0.0000
Cd 0.0000 0.0000 0.5000
Te 0.0000 0.5000 0.5000
Te 0.5000 0.0000 0.5000
Ir 0.5000 0.5000 0.0000
```

Symmetry: No. 123
E_form (uncorrected) (kJ/mol of formula units): 548
Offset from the most stable computed form (meV/atom): 102
Calculated total energy (eV/cell): -16.84